No. 1
# SrLi2Te | Alexandria via LeMat-Bulk | PBE | relaxed
# symmetry: R3m (160)
# raw total energy: -2.890 eV/atom
data_SrLi2Te
_symmetry_space_group_name_H-M 'P 1'
_symmetry_Int_Tables_number 1
_cell_length_a 4.519
_cell_length_b 4.519
_cell_length_c 6.785
_cell_angle_alpha 70.56
_cell_angle_beta 70.56
_cell_angle_gamma 60.03
loop_
_symmetry_equiv_pos_as_xyz
'x,y,z'
loop_
_atom_site_label
_atom_site_fract_x
_atom_site_fract_y
_atom_site_fract_z
_atom_site_occupancy
Li1 0.993 0.993 0.022 1
Li2 0.299 0.299 0.104 1
Sr1 0.501 0.501 0.496 1
Te1 0.707 0.707 0.878 1

---

No. 2
# SrLi2Te | Alexandria via LeMat-Bulk | PBE | relaxed
# symmetry: C2/m (12)
# raw total energy: -2.806 eV/atom
data_SrLi2Te
_symmetry_space_group_name_H-M 'P 1'
_symmetry_Int_Tables_number 1
_cell_length_a 7.553
_cell_length_b 7.553
_cell_length_c 4.572
_cell_angle_alpha 106.62
_cell_angle_beta 106.62
_cell_angle_gamma 35.25
loop_
_symmetry_equiv_pos_as_xyz
'x,y,z'
loop_
_atom_site_label
_atom_site_fract_x
_atom_site_fract_y
_atom_site_fract_z
_atom_site_occupancy
Li1 0.551 0.551 0.547 1
Li2 0.949 0.949 0.953 1
Sr1 0.250 0.250 0.250 1
Te1 0.750 0.750 0.750 1